# LiAlSb2, relaxed, DFT GGA-PBE
# Magnetization, μB/cell: 0.000
# Electronic total energy, eV per atom: -3.411
data_LiAlSb2
_chemical_formula_sum 'Li4 Al4 Sb8'
_cell_length_a 6.688
_cell_length_b 6.688
_cell_length_c 10.637
_cell_angle_alpha 90.00
_cell_angle_beta 90.00
_cell_angle_gamma 90.00
_symmetry_space_group_name_H-M 'I -4 2 d'
_symmetry_Int_Tables_number 122
_symmetry_space_group_name_Hall 'I -4 2bw'
loop_
_atom_site_label
_atom_site_type_symbol
_atom_site_fract_x
_atom_site_fract_y
_atom_site_fract_z
Li1 Li 0.000 0.000 0.000
Al1 Al 0.000 0.000 0.500
Sb1 Sb 0.242 0.250 0.625